Computed, not measured: an optimized crystal structure of Ba2Nb3WO12 at the PBE with a Hubbard U level of DFT.

Calculated values
As for the volume: 16.542 Å³/atom. The electronic total energy is -0.2998 hartree per atom. The density is 5.182 g/cm³. For the density of states at the Fermi level, the calculation gives 0.000 states/eV per cell. As for the total moment: 1.000 μB per formula unit.

Cell lengths 7.5403, 7.5403, 18.1410 Å; angles 90.00, 90.00, 120.00 degrees
Space group R-3m (No. 166, hexagonal axes)
Unique sites:
1 Ba 0.0000 0.0000 0.1778
2 Nb 0.0000 0.5000 0.0000
3 W 0.0000 0.0000 0.5000
4 O 0.0746 0.5373 0.1075
5 O 0.0895 0.5448 0.3594